--- one ---
The following is a PBE calculation of LaZn2Pt4 after structural relaxation, from Alexandria.

Lattice parameters (Å, degrees): 7.936 7.936 5.160 90.00 90.00 90.00
Atoms (fractional coordinates):
La  0.000  0.000  0.000
La  0.500  0.500  0.500
Zn  0.000  0.500  0.250
Zn  0.000  0.500  0.750
Zn  0.500  0.000  0.250
Zn  0.500  0.000  0.750
Pt  0.000  0.230  0.500
Pt  0.000  0.770  0.500
Pt  0.230  0.000  0.500
Pt  0.270  0.500  0.000
Pt  0.500  0.270  0.000
Pt  0.500  0.730  0.000
Pt  0.730  0.500  0.000
Pt  0.770  0.000  0.500

Values from the calculation:
The value obtained for the density of states at the Fermi level is 0.5261 states/eV/atom. The value obtained for the magnetic moment is 0.0 μB per formula unit. As for the space-group type: I4/mmm (139).

--- two ---
The following is a PBE calculation of LaZn2Pt4 after structural relaxation, from Alexandria.

Lattice parameters (Å, degrees): 5.346 6.818 6.835 90.00 90.00 90.00
Atoms (fractional coordinates):
La  0.000  0.000  0.000
La  0.500  0.500  0.500
Zn  0.250  0.000  0.500
Zn  0.250  0.500  0.000
Zn  0.750  0.000  0.500
Zn  0.750  0.500  0.000
Pt  0.000  0.298  0.298
Pt  0.000  0.298  0.702
Pt  0.000  0.702  0.298
Pt  0.000  0.702  0.702
Pt  0.500  0.202  0.202
Pt  0.500  0.202  0.798
Pt  0.500  0.798  0.202
Pt  0.500  0.798  0.798

Values from the calculation:
The value obtained for the density of states at the Fermi level is 0.5120 states/eV/atom. The value obtained for the magnetic moment is 0.0 μB per formula unit. As for the space-group type: Immm (71).

Which structure is the least stable? The one labeled one.

--- one ---
The following is a PBE calculation of La2Zr2Pt after structural relaxation, from Alexandria.

Lattice parameters (Å, degrees): 7.351 7.351 5.257 90.00 90.00 90.00
Atoms (fractional coordinates):
La  0.154  0.346  0.000
La  0.346  0.846  0.000
La  0.654  0.154  0.000
La  0.846  0.654  0.000
Zr  0.148  0.648  0.500
Zr  0.352  0.148  0.500
Zr  0.648  0.852  0.500
Zr  0.852  0.352  0.500
Pt  0.000  0.000  0.000
Pt  0.500  0.500  0.000

Values from the calculation:
The value obtained for the density of states at the Fermi level is 1.2169 states/eV/atom. The value obtained for the magnetic moment is 0.0 μB per formula unit. As for the space-group type: P4/mbm (127).

--- two ---
The following is a PBE calculation of La2Zr2Pt after structural relaxation, from Alexandria.

Lattice parameters (Å, degrees): 7.108 7.108 5.388 90.00 90.00 90.00
Atoms (fractional coordinates):
La  0.167  0.333  0.000
La  0.333  0.833  0.000
La  0.667  0.167  0.000
La  0.833  0.667  0.000
Zr  0.152  0.652  0.500
Zr  0.348  0.152  0.500
Zr  0.652  0.848  0.500
Zr  0.848  0.348  0.500
Pt  0.000  0.000  0.500
Pt  0.500  0.500  0.500

Values from the calculation:
The value obtained for the density of states at the Fermi level is 0.6616 states/eV/atom. The value obtained for the magnetic moment is 0.0 μB per formula unit. As for the space-group type: P4/mbm (127).

--- three ---
The following is a PBE calculation of La2Zr2Pt after structural relaxation, from Alexandria.

Lattice parameters (Å, degrees): 3.897 3.897 18.949 90.00 90.00 90.00
Atoms (fractional coordinates):
La  0.000  0.000  0.084
La  0.000  0.000  0.916
La  0.500  0.500  0.416
La  0.500  0.500  0.584
Zr  0.000  0.500  0.250
Zr  0.000  0.500  0.750
Zr  0.500  0.000  0.250
Zr  0.500  0.000  0.750
Pt  0.000  0.000  0.500
Pt  0.500  0.500  0.000

Values from the calculation:
The value obtained for the density of states at the Fermi level is 0.8540 states/eV/atom. The value obtained for the magnetic moment is 0.0 μB per formula unit. As for the space-group type: I4/mmm (139).

Which structure is the least stable? The one labeled one.

--- one ---
The following is a PBE calculation of La2ZrPt after structural relaxation, from Alexandria.

Lattice parameters (Å, degrees): 8.468 8.468 6.256 90.00 90.00 90.00
Atoms (fractional coordinates):
La  0.206  0.250  0.125
La  0.250  0.706  0.375
La  0.250  0.794  0.875
La  0.294  0.250  0.625
La  0.706  0.750  0.625
La  0.750  0.206  0.875
La  0.750  0.294  0.375
La  0.794  0.750  0.125
Zr  0.000  0.000  0.500
Zr  0.000  0.500  0.750
Zr  0.500  0.000  0.250
Zr  0.500  0.500  0.000
Pt  0.000  0.000  0.000
Pt  0.000  0.500  0.250
Pt  0.500  0.000  0.750
Pt  0.500  0.500  0.500

Values from the calculation:
The value obtained for the density of states at the Fermi level is 1.3361 states/eV/atom. The value obtained for the magnetic moment is 0.0 μB per formula unit. As for the space-group type: I-42d (122).

--- two ---
The following is a PBE calculation of La2ZrPt after structural relaxation, from Alexandria.

Lattice parameters (Å, degrees): 7.628 7.703 3.544 90.00 90.00 90.00
Atoms (fractional coordinates):
La  0.250  0.250  0.000
La  0.250  0.750  0.000
La  0.750  0.250  0.000
La  0.750  0.750  0.000
Zr  0.000  0.000  0.500
Zr  0.500  0.500  0.500
Pt  0.000  0.500  0.500
Pt  0.500  0.000  0.500

Values from the calculation:
The value obtained for the density of states at the Fermi level is 1.3488 states/eV/atom. The value obtained for the magnetic moment is 0.0 μB per formula unit. As for the space-group type: Cmmm (65).

--- three ---
The following is a PBE calculation of La2ZrPt after structural relaxation, from Alexandria.

Lattice parameters (Å, degrees): 7.485 7.485 7.485 90.00 90.00 90.00
Atoms (fractional coordinates):
La  0.250  0.250  0.250
La  0.250  0.250  0.750
La  0.250  0.750  0.250
La  0.250  0.750  0.750
La  0.750  0.250  0.250
La  0.750  0.250  0.750
La  0.750  0.750  0.250
La  0.750  0.750  0.750
Zr  0.000  0.000  0.000
Zr  0.000  0.500  0.500
Zr  0.500  0.000  0.500
Zr  0.500  0.500  0.000
Pt  0.000  0.000  0.500
Pt  0.000  0.500  0.000
Pt  0.500  0.000  0.000
Pt  0.500  0.500  0.500

Values from the calculation:
The value obtained for the density of states at the Fermi level is 1.4080 states/eV/atom. The value obtained for the magnetic moment is 2.5 μB per formula unit. As for the space-group type: Fm-3m (225).

--- four ---
The following is a PBE calculation of La2ZrPt after structural relaxation, from Alexandria.

Lattice parameters (Å, degrees): 3.624 5.047 5.364 90.00 90.00 90.00
Atoms (fractional coordinates):
La  0.000  0.000  0.000
La  0.500  0.000  0.500
Zr  0.000  0.500  0.500
Pt  0.500  0.500  0.000

Values from the calculation:
The value obtained for the density of states at the Fermi level is 1.4910 states/eV/atom. The value obtained for the magnetic moment is 0.0 μB per formula unit. As for the space-group type: Pmmm (47).

Which structure is the least stable? The one labeled three.

--- one ---
The following is a PBE calculation of La2ZrPt after structural relaxation, from Alexandria.

Lattice parameters (Å, degrees): 3.510 3.510 8.921 90.00 90.00 90.00
Atoms (fractional coordinates):
La  0.000  0.000  0.000
La  0.500  0.500  0.351
Zr  0.500  0.500  0.732
Pt  0.000  0.000  0.580

Values from the calculation:
The value obtained for the density of states at the Fermi level is 1.6848 states/eV/atom. The value obtained for the magnetic moment is 0.0 μB per formula unit. As for the space-group type: P4mm (99).

--- two ---
The following is a PBE calculation of La2ZrPt after structural relaxation, from Alexandria.

Lattice parameters (Å, degrees): 5.050 3.805 6.529 90.00 112.68 90.00
Atoms (fractional coordinates):
La  0.000  0.000  0.000
La  0.303  0.500  0.607
Zr  0.596  0.500  0.194
Pt  0.750  0.000  0.500

Values from the calculation:
The value obtained for the density of states at the Fermi level is 1.3430 states/eV/atom. The value obtained for the magnetic moment is 0.0 μB per formula unit. As for the space-group type: Pm (6).

Which structure is the least stable? The one labeled one.

--- one ---
The following is a PBE calculation of La3ZrPt after structural relaxation, from Alexandria.

Lattice parameters (Å, degrees): 5.650 5.650 5.650 90.00 90.00 90.00
Atoms (fractional coordinates):
La  0.000  0.000  0.500
La  0.000  0.500  0.000
La  0.500  0.000  0.000
Zr  0.500  0.500  0.500
Pt  0.000  0.000  0.000

Values from the calculation:
The value obtained for the density of states at the Fermi level is 2.6880 states/eV/atom. The value obtained for the magnetic moment is 0.0 μB per formula unit. As for the space-group type: Pm-3m (221).

--- two ---
The following is a PBE calculation of La3ZrPt after structural relaxation, from Alexandria.

Lattice parameters (Å, degrees): 5.534 5.534 5.534 90.00 90.00 90.00
Atoms (fractional coordinates):
La  0.000  0.000  0.500
La  0.000  0.500  0.000
La  0.500  0.000  0.000
Zr  0.000  0.000  0.000
Pt  0.500  0.500  0.500

Values from the calculation:
The value obtained for the density of states at the Fermi level is 1.6531 states/eV/atom. The value obtained for the magnetic moment is 0.0 μB per formula unit. As for the space-group type: Pm-3m (221).

Which structure is the least stable? The one labeled two.

--- one ---
The following is a PBE calculation of LaZrPt3 after structural relaxation, from Alexandria.

Lattice parameters (Å, degrees): 5.137 5.137 5.137 90.00 90.00 90.00
Atoms (fractional coordinates):
La  0.000  0.000  0.000
Zr  0.500  0.500  0.500
Pt  0.000  0.000  0.500
Pt  0.000  0.500  0.000
Pt  0.500  0.000  0.000

Values from the calculation:
The value obtained for the density of states at the Fermi level is 1.3458 states/eV/atom. The value obtained for the magnetic moment is 0.0 μB per formula unit. As for the space-group type: Pm-3m (221).

--- two ---
The following is a PBE calculation of LaZrPt3 after structural relaxation, from Alexandria.

Lattice parameters (Å, degrees): 5.017 5.017 5.017 90.00 90.00 90.00
Atoms (fractional coordinates):
La  0.000  0.000  0.000
Zr  0.500  0.500  0.500
Pt  0.000  0.500  0.500
Pt  0.500  0.000  0.500
Pt  0.500  0.500  0.000

Values from the calculation:
The value obtained for the density of states at the Fermi level is 0.3308 states/eV/atom. The value obtained for the magnetic moment is 0.0 μB per formula unit. As for the space-group type: Pm-3m (221).

Which structure is the least stable? The one labeled one.